(1)
Below is crystalline Re2SiIr at its relaxed geometry, with properties calculated at the PBE level.

The total DFT energy (no corrections) is -9.7208 eV/atom. The calculated density is 17.10 g cm⁻³.

It has space group Cmmm (No. 65), with a = 5.122 Å, b = 8.063 Å, c = 2.787 Å, α = 90.00°, β = 90.00° and γ = 90.00°. The distinct sites, in fractional coordinates, are Re at (0.250, 0.250, 0.000), Si at (0.000, 0.000, 0.500) and Ir at (0.000, 0.500, 0.500).

(2)
Below is crystalline Re2SiIr at its relaxed geometry, with properties calculated at the PBE level.

The total DFT energy (no corrections) is -9.9347 eV/atom. The calculated density is 17.60 g cm⁻³.

It has space group P4/mmm (No. 123), with a = 2.875 Å, b = 2.875 Å, c = 6.764 Å, α = 90.00°, β = 90.00° and γ = 90.00°. The distinct sites, in fractional coordinates, are Re at (0.000, 0.000, 0.222), Si at (0.500, 0.500, 0.000) and Ir at (0.500, 0.500, 0.500).

(3)
Below is crystalline Re2SiIr at its relaxed geometry, with properties calculated at the PBE level.

The total DFT energy (no corrections) is -9.8154 eV/atom. The calculated density is 17.02 g cm⁻³.

It has space group Cm (No. 8), with a = 8.907 Å, b = 2.777 Å, c = 4.709 Å, α = 90.00°, β = 96.89° and γ = 90.00°. The distinct sites, in fractional coordinates, are Re at (0.000, 0.000, 0.000), Re at (0.248, 0.500, 0.199), Si at (0.241, 0.000, 0.708) and Ir at (0.488, 0.000, 0.509).

(4)
Below is crystalline Re2SiIr at its relaxed geometry, with properties calculated at the PBE level.

The total DFT energy (no corrections) is -9.7569 eV/atom. The calculated density is 17.27 g cm⁻³.

It has space group I4/mmm (No. 139), with a = 3.790 Å, b = 3.790 Å, c = 7.935 Å, α = 90.00°, β = 90.00° and γ = 90.00°. The distinct sites, in fractional coordinates, are Re at (0.000, 0.500, 0.250), Si at (0.000, 0.000, 0.000) and Ir at (0.000, 0.000, 0.500).